This record from Alexandria via LeMat-Bulk describes a geometry-optimized SbTeBr2 structure. The functional is PBE.

Cell and atoms, written as extended XYZ:
```
8
Lattice="-5.145 5.145 2.940 5.145 -5.145 2.940 5.145 5.145 -2.940" Properties=species:S:1:pos:R:3 pbc="T T T"
Sb 0.000 0.000 0.000
Sb 0.000 5.145 1.470
Te 5.145 0.000 1.470
Te 0.000 0.000 2.940
Br 1.134 2.573 0.735
Br -2.573 4.011 2.205
Br -1.134 7.718 0.735
Br 2.573 6.279 2.205
```

Values from the calculation:
- total magnetization (μB per cell) = 2.000
- density (Mg/m³) = 4.4
- VASP energy (eV/atom) = -2.66